Compound: K2HfAsO6
Source: Alexandria
Functional: PBE
Structure: relaxed

Properties
volume	17.991	Å³/atom
total moment	1.05	μB/f.u.
ΔE_f (raw)	-1837	meV/atom
energy	-6.49	eV/atom

a b c (Å): 5.3498 6.2315 6.2315
angles (deg): 120.00 90.00 90.00
Closest atoms and distances in Å follow each position.
Atoms (fractional coordinates):
O 0.7825 0.1367 0.8633  1 As 1.88
O 0.7825 0.7267 0.8633  1 As 1.88
O 0.7825 0.1367 0.2733  1 As 1.88
O 0.2175 0.8633 0.1367  1 As 1.88
O 0.2175 0.8633 0.7267  1 As 1.88
O 0.2175 0.2733 0.1367  1 As 1.88
K 0.8845 0.6667 0.3333  3 O 2.77
K 0.1155 0.3333 0.6667  3 O 2.77
Hf 0.5000 0.0000 0.0000  6 O 2.11
As 0.0000 0.0000 0.0000  6 O 1.88